(1)
12
Lattice="5.172 0.000 0.000 -2.586 4.479 0.000 0.000 0.000 14.062" Properties=species:S:1:pos:R:3 comment="AlSe2 | Alexandria | PBE | optimized geometry" dos_ef_per_ev_cell=5.01 pbc="T T T"
Al 0.000 2.986 0.903
Al 0.000 2.986 6.128
Al 2.586 1.493 7.934
Al 2.586 1.493 13.159
Se 0.000 0.000 0.000
Se 0.000 0.000 7.031
Se 0.000 1.484 3.516
Se -1.301 3.737 3.516
Se 1.285 0.742 10.547
Se 1.301 3.737 3.516
Se 3.887 0.742 10.547
Se 2.586 2.995 10.547

***

(2)
7
Lattice="5.662 0.000 0.000 0.000 5.662 0.000 0.000 0.000 5.662" Properties=species:S:1:pos:R:3 comment="Al3Se4 | Alexandria | PBE | optimized geometry" e_above_lowest_polymorph_ev_per_fu=0.000 dos_ef_per_ev_cell=2.59 pbc="T T T"
Al 0.000 0.000 2.831
Al 0.000 2.831 0.000
Al 2.831 0.000 0.000
Se 1.463 1.463 1.463
Se 1.463 4.199 4.199
Se 4.199 1.463 4.199
Se 4.199 4.199 1.463

***

(3)
3
Lattice="3.866 0.000 0.000 0.000 3.866 0.000 0.000 0.000 4.280" Properties=species:S:1:pos:R:3 comment="Al2Se | Alexandria | PBE | optimized geometry" dos_ef_per_ev_cell=0.89 pbc="T T T"
Al 0.000 1.933 0.000
Al 1.933 0.000 0.000
Se 0.000 0.000 2.140

***

| no. | final energy (eV/atom) |
| --- | --- |
| 1 | -3.30 |
| 2 | -4.26 |
| 3 | -3.69 |